Record 1
Material: CsRb3Au
Method: DFT, GGA-PBE
State: optimized geometry

Unit cell a=7.0284 b=10.7235 c=9.4369 alpha=90.00 beta=99.92 gamma=90.00
Last column: nearest neighbours and their distance in Å.
Atoms (fractional coordinates):
Cs 0.0524 0.2500 0.0906  1 Au 3.76
Cs 0.9476 0.7500 0.9094  1 Au 3.76
Rb 0.0654 0.7500 0.4560  2 Au 3.62-3.68
Rb 0.4692 0.0277 0.7285  2 Au 3.55-3.60
Rb 0.4692 0.4723 0.7285  2 Au 3.55-3.60
Rb 0.5308 0.5277 0.2715  2 Au 3.55-3.60
Rb 0.5308 0.9723 0.2715  2 Au 3.55-3.60
Rb 0.9346 0.2500 0.5440  2 Au 3.62-3.68
Au 0.4057 0.2500 0.4384  6 Rb 3.55-3.68, 1 Cs 3.76
Au 0.5943 0.7500 0.5616  6 Rb 3.55-3.68, 1 Cs 3.76

Output
ΔE to the lowest computed polymorph (eV/f.u.): 0.00
Space-group type: P2_1/m, No. 11
Formation energy from the elements (kJ/mol of atoms): -10.92



Record 2
Material: Rb2ZnBi
Method: DFT, GGA-PBE
State: optimized geometry

Unit cell a=12.6754 b=12.6754 c=12.6754 alpha=155.70 beta=155.70 gamma=34.63
Last column: nearest neighbours and their distance in Å.
Atoms (fractional coordinates):
Rb 0.1076 0.6250 0.9826  2 Zn 3.53, 2 Bi 3.60, 4 Rb 3.64-3.91
Rb 0.3750 0.3576 0.4826  2 Zn 3.53, 2 Bi 3.60, 4 Rb 3.64-3.91
Rb 0.6424 0.1250 0.0174  2 Zn 3.53, 2 Bi 3.60, 4 Rb 3.64-3.91
Rb 0.8750 0.8924 0.5174  2 Zn 3.53, 2 Bi 3.60, 4 Rb 3.64-3.91
Zn 0.0000 0.0000 0.0000  4 Rb 3.53, 4 Bi 3.77
Zn 0.7500 0.2500 0.5000  4 Rb 3.53, 4 Bi 3.77
Bi 0.2500 0.7500 0.5000  4 Rb 3.60, 4 Zn 3.77
Bi 0.5000 0.5000 0.0000  4 Rb 3.60, 4 Zn 3.77

Output
ΔE to the lowest computed polymorph (eV/f.u.): 1.46
Space-group type: I-42d, No. 122
Formation energy from the elements (kJ/mol of atoms): 21.56



Record 3
Material: MgCoP2
Method: DFT, GGA-PBE
State: optimized geometry

Unit cell a=3.9660 b=3.9660 c=3.4666 alpha=90.00 beta=90.00 gamma=90.00
Last column: nearest neighbours and their distance in Å.
Atoms (fractional coordinates):
Mg 0.0000 0.0000 0.0000  8 P 2.63, 4 Co 2.80
Co 0.5000 0.5000 0.0000  8 P 2.63, 4 Mg 2.80
P 0.0000 0.5000 0.5000  4 Co 2.63, 4 Mg 2.63, 4 P 2.80
P 0.5000 0.0000 0.5000  4 Co 2.63, 4 Mg 2.63, 4 P 2.80

Output
Space-group type: P4/mmm, No. 123
Formation energy from the elements (kJ/mol of atoms): 6.84



Record 4
Material: Na2MgPd3
Method: DFT, GGA-PBE
State: optimized geometry

Unit cell a=5.3458 b=5.3458 c=5.3399 alpha=117.41 beta=117.41 gamma=62.80
Last column: nearest neighbours and their distance in Å.
Atoms (fractional coordinates):
Na 0.1198 0.1198 0.3796  4 Na 3.08-3.43, 9 Pd 3.17-3.18, 3 Mg 3.26-3.27
Na 0.8802 0.8802 0.6204  4 Na 3.08-3.43, 9 Pd 3.17-3.18, 3 Mg 3.26-3.27
Mg 0.5000 0.5000 0.0000  6 Pd 2.67
Pd 0.0000 0.5000 0.0000  2 Mg 2.67, 4 Pd 2.78-2.79
Pd 0.5000 0.0000 0.0000  2 Mg 2.67, 4 Pd 2.78-2.79
Pd 0.5000 0.5000 0.5000  2 Mg 2.67, 4 Pd 2.78

Output
Space-group type: C2/m, No. 12
Formation energy from the elements (kJ/mol of atoms): -30.39



Record 5
Material: K2AgPt
Method: DFT, GGA-PBE
State: optimized geometry

Unit cell a=6.3749 b=6.3749 c=5.6727 alpha=90.00 beta=90.00 gamma=76.54
Last column: nearest neighbours and their distance in Å.
Atoms (fractional coordinates):
K 0.0126 0.3520 0.2500  4 Ag 3.34-3.46, 3 K 3.39-3.65, 4 Pt 3.49-3.73
K 0.3520 0.0126 0.7500  4 Ag 3.34-3.46, 3 K 3.39-3.65, 4 Pt 3.49-3.73
K 0.6480 0.9874 0.2500  4 Ag 3.34-3.46, 3 K 3.39-3.65, 4 Pt 3.49-3.73
K 0.9874 0.6480 0.7500  4 Ag 3.34-3.46, 3 K 3.39-3.65, 4 Pt 3.49-3.73
Ag 0.2022 0.7978 0.2500  2 Pt 2.75
Ag 0.7978 0.2022 0.7500  2 Pt 2.75
Pt 0.5000 0.5000 0.0000  2 Ag 2.75, 2 Pt 2.84
Pt 0.5000 0.5000 0.5000  2 Ag 2.75, 2 Pt 2.84

Output
ΔE to the lowest computed polymorph (eV/f.u.): 0.00
Space-group type: Cmcm, No. 63
Formation energy from the elements (kJ/mol of atoms): 1.97



Record 6
Material: TaCu4Ni
Method: DFT, GGA-PBE
State: optimized geometry

Unit cell a=4.7594 b=4.7594 c=4.7594 alpha=60.00 beta=60.00 gamma=60.00
Last column: nearest neighbours and their distance in Å.
Atoms (fractional coordinates):
Ta 0.0000 0.0000 0.0000  12 Cu 2.79, 4 Ni 2.91
Cu 0.3754 0.3754 0.3754  6 Cu 2.37-2.39
Cu 0.3754 0.3754 0.8737  6 Cu 2.37-2.39
Cu 0.3754 0.8737 0.3754  6 Cu 2.37-2.39
Cu 0.8737 0.3754 0.3754  6 Cu 2.37-2.39
Ni 0.7500 0.7500 0.7500  12 Cu 2.79, 4 Ta 2.91

Output
Space-group type: F-43m, No. 216
Formation energy from the elements (kJ/mol of atoms): 3.84



Record 7
Material: LaNbAsSe2
Method: DFT, GGA-PBE
State: optimized geometry

Unit cell a=5.6091 b=5.6091 c=5.5584 alpha=90.00 beta=90.00 gamma=90.00
Last column: nearest neighbours and their distance in Å.
Atoms (fractional coordinates):
La 0.0000 0.0000 0.0000  2 As 2.78, 4 Se 2.80
Nb 0.5000 0.5000 0.5000  8 Se 3.95, 4 As 3.97
As 0.0000 0.0000 0.5000  2 La 2.78
Se 0.0000 0.5000 0.0000  2 La 2.80
Se 0.5000 0.0000 0.0000  2 La 2.80

Output
ΔE to the lowest computed polymorph (eV/f.u.): 7.02
Space-group type: P4/mmm, No. 123
Uncorrected formation energy (meV/atom): 582



no.,magnetization (μB/atom),electronic total energy (eV/atom)
1,0.000,-1.52
2,0.000,-1.55
3,0.000,-4.81
4,0.000,-3.62
5,0.000,-2.75
6,0.000,-5.63
7,0.367,-4.74